A plane-wave DFT calculation with PBE was carried out for Sr4AgPt3 after structural relaxation.

Unit cell a=4.2564 b=4.6116 c=11.3585 alpha=90.00 beta=90.00 gamma=90.00
Last column: nearest neighbours and their distance in Å.
Fractional positions:
Sr1 0.0000 0.0000 0.0000  6 Pt 3.14-3.19, 1 Ag 3.43
Sr2 0.0000 0.5000 0.2660  7 Pt 3.22-3.28
Sr3 0.5000 0.0000 0.4778  5 Pt 3.12-3.26, 2 Ag 3.28
Sr4 0.5000 0.5000 0.7717  3 Pt 3.19-3.26, 4 Ag 3.25
Ag1 0.0000 0.0000 0.6980  2 Pt 2.82
Pt1 0.0000 0.5000 0.5547  2 Ag 2.82
Pt2 0.5000 0.0000 0.2032  2 Pt 2.87, 3 Sr 3.12-3.14
Pt3 0.5000 0.5000 0.0528  2 Pt 2.87, 5 Sr 3.19

**Raw total energy**: -4.16 eV per atom
**Magnetization**: 0.00 μB per atom
**V**: 223.0 Å³/cell
**Calculated formation energy**: -5.61 eV/f.u.